No. 1
# OsRh2W

A relaxed OsRh2W crystal (GGA-PBEsol, Alexandria).

Lattice parameters (Å, degrees): 4.330 4.330 4.330 60.00 60.00 60.00
Sites, in units of the cell vectors:
Os (0.000, 0.000, 0.000)
Rh (0.250, 0.250, 0.250)
Rh (0.500, 0.500, 0.500)
W (0.750, 0.750, 0.750)

Its crystal system is cubic. For the formation energy, the calculation gives 0.240 eV/atom. The energy above the most stable polymorph in this dataset comes out at 404 meV per atom.

---

No. 2
# OsRh2W

A relaxed OsRh2W crystal (GGA-PBEsol, Alexandria).

Lattice parameters (Å, degrees): 3.793 3.793 3.896 90.00 90.00 90.00
Sites, in units of the cell vectors:
Os (0.000, 0.000, 0.000)
Rh (0.000, 0.500, 0.500)
Rh (0.500, 0.000, 0.500)
W (0.500, 0.500, 0.000)

Its crystal system is tetragonal. For the formation energy, the calculation gives -0.163 eV/atom. The energy above the most stable polymorph in this dataset comes out at 0 meV per atom.

---

No. 3
# Os2RhW

A relaxed Os2RhW crystal (GGA-PBEsol, Alexandria).

Lattice parameters (Å, degrees): 4.693 4.693 4.739 99.80 99.80 33.75
Sites, in units of the cell vectors:
Os (0.249, 0.249, 0.258)
Os (0.751, 0.751, 0.742)
Rh (0.000, 0.000, 0.500)
W (0.500, 0.500, 0.000)

Its crystal system is monoclinic. For the formation energy, the calculation gives 0.032 eV/atom. The energy above the most stable polymorph in this dataset comes out at 119 meV per atom.

---

No. 4
# Os2RhW

A relaxed Os2RhW crystal (GGA-PBEsol, Alexandria).

Lattice parameters (Å, degrees): 3.845 3.845 3.834 90.00 90.00 90.00
Sites, in units of the cell vectors:
Os (0.000, 0.500, 0.000)
Os (0.500, 0.000, 0.000)
Rh (0.000, 0.000, 0.500)
W (0.500, 0.500, 0.500)

Its crystal system is tetragonal. For the formation energy, the calculation gives -0.086 eV/atom. The energy above the most stable polymorph in this dataset comes out at 0 meV per atom.

---

No. 5
# Os2RhW

A relaxed Os2RhW crystal (GGA-PBEsol, Alexandria).

Lattice parameters (Å, degrees): 4.704 4.704 4.704 131.71 131.71 70.69
Sites, in units of the cell vectors:
Os (0.000, 0.000, 0.000)
Os (0.750, 0.250, 0.500)
Rh (0.250, 0.750, 0.500)
W (0.500, 0.500, 0.000)

Its crystal system is tetragonal. For the formation energy, the calculation gives -0.042 eV/atom. The energy above the most stable polymorph in this dataset comes out at 45 meV per atom.

---

No. 6
# Os2RhW

A relaxed Os2RhW crystal (GGA-PBEsol, Alexandria).

Lattice parameters (Å, degrees): 3.255 3.255 5.492 90.00 90.00 90.00
Sites, in units of the cell vectors:
Os (0.000, 0.000, 0.000)
Os (0.500, 0.500, 0.250)
Rh (0.000, 0.000, 0.493)
W (0.500, 0.500, 0.737)

Its crystal system is tetragonal. For the formation energy, the calculation gives 0.394 eV/atom. The energy above the most stable polymorph in this dataset comes out at 481 meV per atom.

---

No. 7
# Y2OsRh

A relaxed Y2OsRh crystal (GGA-PBEsol, Alexandria).

Lattice parameters (Å, degrees): 6.172 6.172 4.619 111.91 111.91 29.43
Sites, in units of the cell vectors:
Y (0.000, 0.000, 0.000)
Y (0.210, 0.210, 0.710)
Os (0.462, 0.462, 0.462)
Rh (0.773, 0.773, 0.272)

Its crystal system is monoclinic. For the formation energy, the calculation gives -0.215 eV/atom.

---

No. 8
# YOs2Rh

A relaxed YOs2Rh crystal (GGA-PBEsol, Alexandria).

Lattice parameters (Å, degrees): 2.861 4.774 4.812 90.00 97.93 90.00
Sites, in units of the cell vectors:
Y (0.000, 0.000, 0.000)
Os (0.316, 0.500, 0.733)
Os (0.684, 0.500, 0.267)
Rh (0.500, 0.000, 0.500)

Its crystal system is monoclinic. For the formation energy, the calculation gives 0.245 eV/atom. The energy above the most stable polymorph in this dataset comes out at 53 meV per atom.